Record 1
ZnNiBiPd: optimized geometry, PBE.

- Total DFT energy (no corrections): -4.082 eV per atom
- Crystal system: cubic
- Total magnetization: 0.0 μB per cell

Lattice parameters (Å, degrees): 6.4673 6.4673 6.4673 90.00 90.00 90.00
Last column: nearest neighbours and their distance in Å.
Space group F-43m (No. 216)
Asymmetric unit:
Zn (0.0000, 0.0000, 0.0000)  4 Ni 2.80, 4 Pd 2.80
Ni (0.2500, 0.2500, 0.7500)  4 Bi 2.80, 4 Zn 2.80
Bi (0.0000, 0.0000, 0.5000)  4 Ni 2.80, 4 Pd 2.80
Pd (0.2500, 0.2500, 0.2500)  4 Bi 2.80, 4 Zn 2.80

***

Record 2
Zn2CuAu: optimized geometry, PBE.

- Crystal system: cubic
- Energy of formation: -10.6 kJ/mol of atoms

Lattice parameters (Å, degrees): 6.1824 6.1824 6.1824 90.00 90.00 90.00
Last column: nearest neighbours and their distance in Å.
Space group F-43m (No. 216)
Asymmetric unit:
Zn (0.0000, 0.0000, 0.0000)  4 Cu 2.68, 4 Zn 2.68
Zn (0.2500, 0.2500, 0.2500)  4 Zn 2.68, 4 Au 2.68
Cu (0.2500, 0.2500, 0.7500)  4 Zn 2.68, 4 Au 2.68
Au (0.0000, 0.0000, 0.5000)  4 Cu 2.68, 4 Zn 2.68

***

Record 3
LiDyPbS3: optimized geometry, PBE.

- Energy above the lowest structure with this stoichiometry: 0.042 eV/atom
- Crystal system: orthorhombic
- Total magnetization: 0.1 μB per cell

Lattice parameters (Å, degrees): 3.9898 12.9178 10.3192 90.00 90.00 90.00
Last column: nearest neighbours and their distance in Å.
Space group Cmcm (No. 63)
Asymmetric unit:
Li (0.0000, 0.0257, 0.2500)  4 S 2.36-2.40
Dy (0.0000, 0.5000, 0.0000)  6 S 2.74-2.77
Pb (0.0000, 0.2509, 0.7500)  6 S 3.00-3.12
S (0.0000, 0.1352, 0.0667)  1 Li 2.36
S (0.0000, 0.4229, 0.2500)  2 Li 2.40

***

Record 4
CoTcHgAs: optimized geometry, PBE.

- Energy above the lowest structure with this stoichiometry: 0.000 eV/atom
- Crystal system: cubic
- Total magnetization: 0.1 μB per cell

Lattice parameters (Å, degrees): 6.2583 6.2583 6.2583 90.00 90.00 90.00
Last column: nearest neighbours and their distance in Å.
Space group F-43m (No. 216)
Asymmetric unit:
Co (0.0000, 0.0000, 0.0000)  4 Hg 2.71, 4 As 2.71
Tc (0.0000, 0.0000, 0.5000)  4 As 2.71, 4 Hg 2.71
Hg (0.2500, 0.2500, 0.2500)  4 Tc 2.71, 4 Co 2.71
As (0.2500, 0.2500, 0.7500)  4 Co 2.71, 4 Tc 2.71

***

Record 5
Zr2Ag: optimized geometry, PBE.

- Crystal system: orthorhombic
- Total magnetization: 0.0 μB per cell
- Energy of formation: 2.8 kJ/mol of atoms

Lattice parameters (Å, degrees): 4.9906 8.9537 5.6305 90.00 90.00 90.00
Last column: nearest neighbours and their distance in Å.
Space group Pmmn (No. 59, origin choice 2)
Asymmetric unit:
Zr (0.2500, 0.0718, 0.1125)  3 Ag 2.92-3.09, 7 Zr 2.92-3.19
Zr (0.2500, 0.2500, 0.6226)  6 Ag 3.03-3.08, 6 Zr 3.18-3.29
Zr (0.2500, 0.7500, 0.0280)  8 Zr 2.92-3.18, 2 Ag 2.99
Ag (0.2500, 0.5864, 0.5652)  7 Zr 2.92-3.09, 3 Ag 2.93-3.03

***

Record 6
RbScHg2Br6: optimized geometry, PBE.

- Total DFT energy (no corrections): -2.645 eV per atom
- Crystal system: cubic
- Total magnetization: 2.6 μB per cell

Lattice parameters (Å, degrees): 11.5528 11.5528 11.5528 90.00 90.00 90.00
Last column: nearest neighbours and their distance in Å.
Space group Fm-3m (No. 225)
Asymmetric unit:
Rb (0.0000, 0.0000, 0.0000)  6 Br 3.17
Sc (0.0000, 0.0000, 0.5000)  6 Br 2.61
Hg (0.2500, 0.2500, 0.2500)  12 Br 4.09
Br (0.0000, 0.0000, 0.2742)  1 Sc 2.61

***

Record 7
LiTmFe: optimized geometry, PBE.

- Energy above the lowest structure with this stoichiometry: 0.337 eV/atom
- Crystal system: cubic
- Total magnetization: 7.3 μB per cell

Lattice parameters (Å, degrees): 6.3790 6.3790 6.3790 90.00 90.00 90.00
Last column: nearest neighbours and their distance in Å.
Space group F-43m (No. 216)
Asymmetric unit:
Li (0.0000, 0.0000, 0.0000)  4 Tm 2.76
Tm (0.2500, 0.2500, 0.7500)  4 Fe 2.76, 4 Li 2.76
Fe (0.0000, 0.0000, 0.5000)  4 Tm 2.76

***

Record 8
CsSmCdTeSe2: optimized geometry, PBE.

- Total DFT energy (no corrections): -4.041 eV per atom
- Crystal system: orthorhombic
- Total magnetization: 0.0 μB per cell

Lattice parameters (Å, degrees): 4.4232 16.9806 11.7657 90.00 90.00 90.00
Last column: nearest neighbours and their distance in Å.
Space group Cmcm (No. 63)
Asymmetric unit:
Cs (0.0000, 0.2316, 0.2500)  4 Se 3.77, 2 Te 3.87, 2 Cd 4.15
Sm (0.0000, 0.0000, 0.0000)  4 Se 2.97, 2 Te 3.25
Cd (0.0000, 0.4748, 0.7500)  2 Se 2.65, 2 Te 2.86
Te (0.0000, 0.0814, 0.7500)  2 Cd 2.86
Se (0.0000, 0.3908, 0.5600)  1 Cd 2.65

***

Record 9
YTm2Al3CuGe2: optimized geometry, PBE.

- Total DFT energy (no corrections): -5.055 eV per atom
- Crystal system: orthorhombic
- Total magnetization: 0.0 μB per cell

Lattice parameters (Å, degrees): 4.1480 12.0922 6.9781 90.00 90.00 90.00
Last column: nearest neighbours and their distance in Å.
Space group Amm2 (No. 38)
Asymmetric unit:
Y (0.0000, 0.0000, 0.0000)  1 Cu 2.82, 4 Ge 2.97
Tm (0.0000, 0.2015, 0.3954)  1 Cu 2.81, 4 Ge 2.97
Al (0.5000, 0.0000, 0.3646)  2 Cu 2.63, 2 Ge 2.75, 2 Al 2.81
Al (0.5000, 0.1163, 0.7126)  2 Cu 2.64, 2 Ge 2.74-2.75, 2 Al 2.81
Cu (0.0000, 0.0000, 0.5958)  6 Al 2.63-2.64, 2 Tm 2.81, 1 Y 2.82
Ge (0.5000, 0.1672, 0.0970)  3 Al 2.74-2.75, 4 Tm 2.97, 2 Y 2.97

***

Record 10
In5AgO8: optimized geometry, PBE.

- Total DFT energy (no corrections): -5.148 eV per atom
- Crystal system: tetragonal

Lattice parameters (Å, degrees): 4.9328 4.9328 10.3845 90.00 90.00 90.00
Last column: nearest neighbours and their distance in Å.
Space group P-42m (No. 111)
Asymmetric unit:
In (0.0000, 0.0000, 0.0000)  4 O 2.07
In (0.0000, 0.5000, 0.2440)  4 O 2.03-2.14
Ag (0.5000, 0.5000, 0.5000)  4 O 2.31
O (0.2309, 0.2309, 0.1258)  3 In 2.07-2.14
O (0.2646, 0.2646, 0.6563)  2 In 2.03

***

Record 11
Zr2NiC3: optimized geometry, PBE.

- Total DFT energy (no corrections): -8.597 eV per atom
- Crystal system: trigonal
- Total magnetization: 0.0 μB per cell

Lattice parameters (Å, degrees): 3.2845 3.2845 7.1842 90.00 90.00 120.00
Last column: nearest neighbours and their distance in Å.
Space group P-3m1 (No. 164)
Asymmetric unit:
Zr (0.3333, 0.6667, 0.1921)  6 C 2.31-2.35
Ni (0.0000, 0.0000, 0.5000)  6 C 2.09
C (0.0000, 0.0000, 0.0000)  6 Zr 2.35
C (0.3333, 0.6667, 0.6236)  3 Ni 2.09, 3 Zr 2.31

***

Record 12
TbHgAsO: optimized geometry, PBE.

- Energy above the lowest structure with this stoichiometry: 0.497 eV/atom
- Crystal system: tetragonal
- Total magnetization: 0.0 μB per cell

Lattice parameters (Å, degrees): 5.9211 5.9211 4.8161 90.00 90.00 90.00
Last column: nearest neighbours and their distance in Å.
Space group P4/nmm (No. 129, origin choice 2)
Asymmetric unit:
Tb (0.2500, 0.7500, 0.0000)  2 O 2.41
Hg (0.2500, 0.2500, 0.4964)  2 As 2.41
As (0.2500, 0.2500, 0.9964)  2 Hg 2.41
O (0.2500, 0.7500, 0.5000)  2 Tb 2.41